[1]
Density functional theory data (PBE) for a relaxed Ti6Sb3As crystal.

POSCAR file:
```
Ti6Sb3As
1.0
-0.041 -5.445 -3.812
4.728 -3.777 5.345
-7.600 -1.523 2.257
Ti Sb As
12 6 2
direct
0.214 0.411 0.929
0.175 0.726 0.589
0.714 0.589 0.071
0.128 0.753 0.247
0.675 0.589 0.726
0.242 0.031 0.969
0.714 0.929 0.411
0.742 0.969 0.031
0.175 0.411 0.274
0.675 0.274 0.411
0.214 0.071 0.589
0.628 0.247 0.753
0.523 0.900 0.710
0.832 0.595 0.405
0.023 0.100 0.290
0.023 0.710 0.900
0.332 0.405 0.595
0.523 0.290 0.100
0.458 0.847 0.153
0.958 0.153 0.847
```

Summary:
The calculation puts the raw total energy at -6.77 eV/atom. The total magnetization is 0.000 Bohr magnetons per cell. Its formation energy (no corrections) is -329 meV per atom.


[2]
Density functional theory data (PBE) for a relaxed Y2ZnRu crystal.

POSCAR file:
```
Y2ZnRu
1.0
3.455 0.000 0.000
0.000 3.506 0.000
0.000 3.503 7.121
Zn Y Ru
1 2 1
direct
0.500 0.250 0.250
0.000 0.482 0.518
0.000 0.018 0.982
0.500 0.750 0.750
```

Summary:
The calculation puts the raw total energy at -6.25 eV/atom. The total magnetization is 0.000 Bohr magnetons per cell.


[3]
Density functional theory data (PBE) for a relaxed HoSc2IrO8 crystal.

POSCAR file:
```
HoSc2IrO8
1.0
-3.887 1.159 2.685
0.796 -3.876 2.821
3.763 3.605 3.891
O Sc Ho Ir
8 2 1 1
direct
0.684 0.685 0.500
0.194 0.805 0.215
0.194 0.805 0.785
0.806 0.195 0.215
0.721 0.722 0.000
0.316 0.315 0.500
0.279 0.278 0.000
0.806 0.195 0.785
0.500 0.500 0.258
0.500 0.500 0.742
0.000 0.000 0.500
0.000 0.000 0.000
```

Summary:
The calculation puts the raw total energy at -7.83 eV/atom. The total magnetization is 1.138 Bohr magnetons per cell. Its formation energy (no corrections) is -2350 meV per atom.


[4]
Density functional theory data (PBE) for a relaxed Sm2SN crystal.

POSCAR file:
```
Sm2SN
1.0
3.725 -0.001 -0.002
-1.862 3.226 0.002
-1.856 -1.079 6.458
Sm N S
2 1 1
direct
0.527 0.263 0.790
0.473 0.737 0.210
0.000 0.000 0.000
0.000 0.500 0.500
```

Summary:
The calculation puts the raw total energy at -7.25 eV/atom. The total magnetization is 0.000 Bohr magnetons per cell. Its formation energy (no corrections) is -1777 meV per atom. For the energy relative to the lowest polymorph listed for this composition, the calculation gives 0.00 eV per formula unit.